Record 1
Below is a geometry-optimized BaAlCdIn2 structure, with properties calculated at the GGA-PBE level.

Calculated values
E_form: -0.29 eV/atom

Lattice parameters (Å, degrees): 4.852 4.852 12.097 90.00 90.00 90.00
Space group I-4m2 (No. 119)
Inequivalent atoms, fractional coordinates:
Ba 0.000 0.000 0.000 (multiplicity 2)
Al 0.000 0.500 0.250 (multiplicity 2)
Cd 0.000 0.500 0.750 (multiplicity 2)
In 0.000 0.000 0.381 (multiplicity 4)

Record 2
Below is a geometry-optimized BaAlCd2In4 structure, with properties calculated at the GGA-PBE level.

Calculated values
E_form: -0.13 eV/atom

Lattice parameters (Å, degrees): 5.1489 5.1489 29.2162 90.00 90.00 120.00
Space group R-3m (No. 166, hexagonal axes)
Inequivalent atoms, fractional coordinates:
Ba 0.0000 0.0000 0.0000 (multiplicity 3)
Al 0.0000 0.0000 0.5000 (multiplicity 3)
Cd 0.0000 0.0000 0.2507 (multiplicity 6)
In 0.0000 0.0000 0.1360 (multiplicity 6)
In 0.0000 0.0000 0.4036 (multiplicity 6)

Record 3
Below is a geometry-optimized BaAlCd2In structure, with properties calculated at the GGA-PBE level.

Calculated values
E_form: -0.26 eV/atom

Lattice parameters (Å, degrees): 4.772 4.874 12.097 90.00 90.00 90.00
Space group Imm2 (No. 44)
Inequivalent atoms, fractional coordinates:
Ba 0.000 0.000 0.000 (multiplicity 2)
Al 0.000 0.500 0.745 (multiplicity 2)
Cd 0.000 0.000 0.619 (multiplicity 2)
Cd 0.000 0.500 0.251 (multiplicity 2)
In 0.000 0.000 0.380 (multiplicity 2)

Record 4
Below is a geometry-optimized Ba2Al3CdIn4 structure, with properties calculated at the GGA-PBE level.

Calculated values
E_form: -0.29 eV/atom

Lattice parameters (Å, degrees): 4.853 4.853 11.763 90.00 90.00 90.00
Space group P-4m2 (No. 115)
Inequivalent atoms, fractional coordinates:
Ba 0.000 0.500 0.250 (multiplicity 2)
Al 0.000 0.000 0.000 (multiplicity 1)
Al 0.000 0.500 0.632 (multiplicity 2)
Cd 0.500 0.500 0.000 (multiplicity 1)
In 0.000 0.000 0.500 (multiplicity 1)
In 0.000 0.500 0.865 (multiplicity 2)
In 0.500 0.500 0.500 (multiplicity 1)

Record 5
Below is a geometry-optimized Ba2AlCd3In4 structure, with properties calculated at the GGA-PBE level.

Calculated values
E_form: -0.31 eV/atom

Lattice parameters (Å, degrees): 4.870 4.870 12.280 90.00 90.00 90.00
Space group P-4m2 (No. 115)
Inequivalent atoms, fractional coordinates:
Ba 0.000 0.500 0.242 (multiplicity 2)
Al 0.500 0.500 0.000 (multiplicity 1)
Cd 0.000 0.000 0.000 (multiplicity 1)
Cd 0.000 0.500 0.640 (multiplicity 2)
In 0.000 0.000 0.500 (multiplicity 1)
In 0.000 0.500 0.872 (multiplicity 2)
In 0.500 0.500 0.500 (multiplicity 1)

Record 6
Below is a geometry-optimized BaAl2CdIr structure, with properties calculated at the GGA-PBE level.

Calculated values
E_form: -0.42 eV/atom

Lattice parameters (Å, degrees): 4.841 4.841 5.311 90.00 90.00 90.00
Space group P4/mmm (No. 123)
Inequivalent atoms, fractional coordinates:
Ba 0.000 0.000 0.000 (multiplicity 1)
Al 0.000 0.500 0.500 (multiplicity 2)
Cd 0.500 0.500 0.000 (multiplicity 1)
Ir 0.500 0.500 0.500 (multiplicity 1)

Record 7
Below is a geometry-optimized BaLaAlCd structure, with properties calculated at the GGA-PBE level.

Calculated values
E_form: -0.18 eV/atom

Lattice parameters (Å, degrees): 8.063 8.063 8.063 90.00 90.00 90.00
Space group F-43m (No. 216)
Inequivalent atoms, fractional coordinates:
Ba 0.000 0.000 0.000 (multiplicity 4)
La 0.000 0.000 0.500 (multiplicity 4)
Al 0.250 0.250 0.750 (multiplicity 4)
Cd 0.250 0.250 0.250 (multiplicity 4)

Record 8
Below is a geometry-optimized BaLi2AlCd structure, with properties calculated at the GGA-PBE level.

Calculated values
E_form: -0.04 eV/atom
Energy relative to the lowest polymorph listed for this composition: 0 meV/atom

Lattice parameters (Å, degrees): 5.258 5.258 5.198 90.00 90.00 90.00
Space group P4/mmm (No. 123)
Inequivalent atoms, fractional coordinates:
Ba 0.000 0.000 0.000 (multiplicity 1)
Li 0.000 0.500 0.500 (multiplicity 2)
Al 0.500 0.500 0.500 (multiplicity 1)
Cd 0.500 0.500 0.000 (multiplicity 1)

Record 9
Below is a geometry-optimized BaLi6AlCd structure, with properties calculated at the GGA-PBE level.

Calculated values
E_form: 0.06 eV/atom

Lattice parameters (Å, degrees): 5.477 11.100 15.470 90.00 90.00 90.00
Space group Imma (No. 74)
Inequivalent atoms, fractional coordinates:
Ba 0.000 0.250 0.118 (multiplicity 4)
Li 0.000 0.250 0.582 (multiplicity 4)
Li 0.000 0.250 0.900 (multiplicity 4)
Li 0.241 0.038 0.662 (multiplicity 16)
Al 0.250 0.250 0.750 (multiplicity 4)
Cd 0.000 0.000 0.500 (multiplicity 4)

Record 10
Below is a geometry-optimized BaLiAlCd structure, with properties calculated at the GGA-PBE level.

Calculated values
E_form: -0.10 eV/atom

Lattice parameters (Å, degrees): 7.516 7.516 7.516 90.00 90.00 90.00
Space group F-43m (No. 216)
Inequivalent atoms, fractional coordinates:
Ba 0.000 0.000 0.000 (multiplicity 4)
Li 0.250 0.250 0.250 (multiplicity 4)
Al 0.000 0.000 0.500 (multiplicity 4)
Cd 0.250 0.250 0.750 (multiplicity 4)

Record 11
Below is a geometry-optimized BaLi2AlCd structure, with properties calculated at the GGA-PBE level.

Calculated values
E_form: -0.01 eV/atom
Energy relative to the lowest polymorph listed for this composition: 34 meV/atom

Lattice parameters (Å, degrees): 5.284 5.284 5.104 90.00 90.00 90.00
Space group P4/mmm (No. 123)
Inequivalent atoms, fractional coordinates:
Ba 0.000 0.000 0.000 (multiplicity 1)
Li 0.000 0.500 0.500 (multiplicity 2)
Al 0.500 0.500 0.000 (multiplicity 1)
Cd 0.500 0.500 0.500 (multiplicity 1)

Record 12
Below is a geometry-optimized BaLi2AlCd4 structure, with properties calculated at the GGA-PBE level.

Calculated values
E_form: -0.18 eV/atom

Lattice parameters (Å, degrees): 4.6956 4.6956 31.5559 90.00 90.00 120.00
Space group R-3m (No. 166, hexagonal axes)
Inequivalent atoms, fractional coordinates:
Ba 0.0000 0.0000 0.0000 (multiplicity 3)
Li 0.0000 0.0000 0.2259 (multiplicity 6)
Al 0.0000 0.0000 0.5000 (multiplicity 3)
Cd 0.0000 0.0000 0.1278 (multiplicity 6)
Cd 0.0000 0.0000 0.4084 (multiplicity 6)

Record 13
Below is a geometry-optimized Ba2Mg3AlCd4 structure, with properties calculated at the GGA-PBE level.

Calculated values
E_form: -0.18 eV/atom

Lattice parameters (Å, degrees): 4.851 4.851 12.236 90.00 90.00 90.00
Space group P-4m2 (No. 115)
Inequivalent atoms, fractional coordinates:
Ba 0.000 0.500 0.241 (multiplicity 2)
Mg 0.000 0.000 0.000 (multiplicity 1)
Mg 0.000 0.500 0.637 (multiplicity 2)
Al 0.500 0.500 0.000 (multiplicity 1)
Cd 0.000 0.000 0.500 (multiplicity 1)
Cd 0.000 0.500 0.875 (multiplicity 2)
Cd 0.500 0.500 0.500 (multiplicity 1)

Record 14
Below is a geometry-optimized Ba2Mg6AlCd structure, with properties calculated at the GGA-PBE level.

Calculated values
E_form: -0.01 eV/atom

Lattice parameters (Å, degrees): 7.982 10.189 7.733 90.00 90.00 90.00
Space group Pmmn (No. 59, origin choice 2)
Inequivalent atoms, fractional coordinates:
Ba 0.250 0.020 0.232 (multiplicity 4)
Mg 0.054 0.250 0.882 (multiplicity 4)
Mg 0.071 0.750 0.549 (multiplicity 4)
Mg 0.250 0.000 0.725 (multiplicity 4)
Al 0.250 0.250 0.566 (multiplicity 2)
Cd 0.250 0.750 0.907 (multiplicity 2)

Record 15
Below is a geometry-optimized BaMgAl2Cd structure, with properties calculated at the GGA-PBE level.

Calculated values
E_form: -0.20 eV/atom

Lattice parameters (Å, degrees): 4.595 4.775 12.084 90.00 90.00 90.00
Space group Imm2 (No. 44)
Inequivalent atoms, fractional coordinates:
Ba 0.000 0.000 0.000 (multiplicity 2)
Mg 0.000 0.500 0.742 (multiplicity 2)
Al 0.000 0.000 0.617 (multiplicity 2)
Al 0.000 0.500 0.243 (multiplicity 2)
Cd 0.000 0.000 0.385 (multiplicity 2)

Record 16
Below is a geometry-optimized Ba2Mg12Al3Cd structure, with properties calculated at the GGA-PBE level.

Calculated values
E_form: 0.30 eV/atom

Lattice parameters (Å, degrees): 10.1076 10.1076 20.4607 90.00 90.00 120.00
Space group R-3m (No. 166, hexagonal axes)
Inequivalent atoms, fractional coordinates:
Ba 0.0000 0.0000 0.0967 (multiplicity 6)
Mg 0.0008 0.5004 0.1344 (multiplicity 18)
Mg 0.0909 0.5454 0.2901 (multiplicity 18)
Al 0.0000 0.5000 0.0000 (multiplicity 9)
Cd 0.0000 0.0000 0.5000 (multiplicity 3)

Record 17
Below is a geometry-optimized BaMgAlCd3 structure, with properties calculated at the GGA-PBE level.

Calculated values
E_form: -0.05 eV/atom

Lattice parameters (Å, degrees): 7.243 13.933 6.641 90.00 90.00 90.00
Space group Cmcm (No. 63)
Inequivalent atoms, fractional coordinates:
Ba 0.000 0.213 0.250 (multiplicity 4)
Mg 0.000 0.454 0.250 (multiplicity 4)
Al 0.000 0.135 0.750 (multiplicity 4)
Cd 0.000 0.343 0.750 (multiplicity 4)
Cd 0.199 0.000 0.000 (multiplicity 8)

Record 18
Below is a geometry-optimized Ba2Mg4AlCd3 structure, with properties calculated at the GGA-PBE level.

Calculated values
E_form: -0.16 eV/atom

Lattice parameters (Å, degrees): 4.780 4.780 12.797 90.00 90.00 90.00
Space group P-4m2 (No. 115)
Inequivalent atoms, fractional coordinates:
Ba 0.000 0.500 0.243 (multiplicity 2)
Mg 0.000 0.000 0.500 (multiplicity 1)
Mg 0.000 0.500 0.873 (multiplicity 2)
Mg 0.500 0.500 0.500 (multiplicity 1)
Al 0.500 0.500 0.000 (multiplicity 1)
Cd 0.000 0.000 0.000 (multiplicity 1)
Cd 0.000 0.500 0.641 (multiplicity 2)

Record 19
Below is a geometry-optimized Ba2MgAl3Cd4 structure, with properties calculated at the GGA-PBE level.

Calculated values
E_form: -0.21 eV/atom

Lattice parameters (Å, degrees): 4.735 4.735 12.048 90.00 90.00 90.00
Space group P-4m2 (No. 115)
Inequivalent atoms, fractional coordinates:
Ba 0.000 0.500 0.244 (multiplicity 2)
Mg 0.000 0.000 0.500 (multiplicity 1)
Al 0.000 0.500 0.870 (multiplicity 2)
Al 0.500 0.500 0.500 (multiplicity 1)
Cd 0.000 0.000 0.000 (multiplicity 1)
Cd 0.000 0.500 0.637 (multiplicity 2)
Cd 0.500 0.500 0.000 (multiplicity 1)

Record 20
Below is a geometry-optimized Ba2Mg12AlCd3 structure, with properties calculated at the GGA-PBE level.

Calculated values
E_form: 0.09 eV/atom

Lattice parameters (Å, degrees): 7.5046 7.5046 32.3201 90.00 90.00 120.00
Space group R-3m (No. 166, hexagonal axes)
Inequivalent atoms, fractional coordinates:
Ba 0.0000 0.0000 0.1476 (multiplicity 6)
Mg 0.0471 0.5235 0.0966 (multiplicity 18)
Mg 0.0698 0.5349 0.6204 (multiplicity 18)
Al 0.0000 0.0000 0.5000 (multiplicity 3)
Cd 0.0000 0.5000 0.0000 (multiplicity 9)

Record 21
Below is a geometry-optimized Ba2AlCdNi structure, with properties calculated at the GGA-PBE level.

Calculated values
E_form: -0.13 eV/atom

Lattice parameters (Å, degrees): 6.011 6.011 4.683 90.00 90.00 90.00
Space group P4/mmm (No. 123)
Inequivalent atoms, fractional coordinates:
Ba 0.000 0.500 0.000 (multiplicity 2)
Al 0.000 0.000 0.500 (multiplicity 1)
Cd 0.500 0.500 0.500 (multiplicity 1)
Ni 0.000 0.000 0.000 (multiplicity 1)

Record 22
Below is a geometry-optimized BaAlCd2O4 structure, with properties calculated at the GGA-PBE level.

Calculated values
Raw formation energy: -1.871 eV per atom

Lattice parameters (Å, degrees): 5.943 5.943 7.282 90.00 90.00 90.00
Space group I-42m (No. 121)
Inequivalent atoms, fractional coordinates:
Ba 0.000 0.000 0.000 (multiplicity 2)
Al 0.000 0.000 0.500 (multiplicity 2)
Cd 0.000 0.500 0.250 (multiplicity 4)
O 0.178 0.178 0.641 (multiplicity 8)

Record 23
Below is a geometry-optimized Ba2AlCd3Pb4 structure, with properties calculated at the GGA-PBE level.

Calculated values
E_form: -0.26 eV/atom

Lattice parameters (Å, degrees): 5.089 5.089 12.301 90.00 90.00 90.00
Space group P-4m2 (No. 115)
Inequivalent atoms, fractional coordinates:
Ba 0.000 0.500 0.243 (multiplicity 2)
Al 0.500 0.500 0.000 (multiplicity 1)
Cd 0.000 0.000 0.000 (multiplicity 1)
Cd 0.000 0.500 0.637 (multiplicity 2)
Pb 0.000 0.000 0.500 (multiplicity 1)
Pb 0.000 0.500 0.874 (multiplicity 2)
Pb 0.500 0.500 0.500 (multiplicity 1)

no.,energy (eV/atom)
1,-2.700
2,-2.435
3,-2.304
4,-2.980
5,-2.442
6,-4.255
7,-3.055
8,-2.126
9,-1.950
10,-2.221
11,-2.092
12,-1.825
13,-1.786
14,-1.814
15,-2.587
16,-1.656
17,-1.714
18,-1.835
19,-2.243
20,-1.544
21,-2.991
22,-5.287
23,-2.778